DFT (GGA-PBE) results for an optimized crystal structure of Ba2Na4Sr5.

Unit cell a=16.9633 b=7.9147 c=11.3451 alpha=90.00 beta=131.39 gamma=90.00
Closest atoms and distances in Å follow each position.
Space group C2/m (No. 12)
Asymmetric unit:
Ba1 0.1892 0.0000 0.1912 (multiplicity 4)  2 Na 3.92-3.96
Na1 0.2452 0.5000 0.0813 (multiplicity 4)  3 Sr 3.62-3.81, 1 Na 3.64, 1 Ba 3.92
Na2 0.2471 0.5000 0.4043 (multiplicity 4)  3 Sr 3.63-3.81, 1 Na 3.64, 1 Ba 3.96
Sr1 0.0000 0.5000 0.0000 (multiplicity 2)  4 Na 3.62-3.63
Sr2 0.0006 0.2532 0.6817 (multiplicity 8)  4 Na 3.81-4.12, 4 Sr 3.91-4.11

Properties
The density of states at the Fermi level comes out at 23.04 states/eV per cell. The formation energy is 71 meV per atom.